No. 1
# ThCo4Ge12

ThCo4Ge12 after structural relaxation (PBE, Alexandria via LeMat-Bulk). Values from VASP.

Output
- space-group type = No. 204
- energy of formation from the pure elements (eV/atom) = -0.1440
- crystal system = cubic
- total moment (μB per atom) = 0.000
- calculated volume (Å³ per cell) = 295.32

Cell and atoms, written as Quantum ESPRESSO input:
```
&SYSTEM
  ibrav = 0, nat = 17, ntyp = 3
/
ATOMIC_SPECIES
Th 232.04 Th.upf
Co 58.93 Co.upf
Ge 72.64 Ge.upf
ATOMIC_POSITIONS crystal
Th 0.000 0.000 0.000
Co 0.000 0.500 0.000
Co 0.500 0.000 0.000
Co 0.500 0.500 0.500
Co 0.000 0.000 0.500
Ge 0.834 0.344 0.179
Ge 0.344 0.510 0.166
Ge 0.821 0.166 0.656
Ge 0.344 0.179 0.834
Ge 0.179 0.834 0.344
Ge 0.656 0.490 0.834
Ge 0.510 0.166 0.344
Ge 0.490 0.834 0.656
Ge 0.656 0.821 0.166
Ge 0.834 0.656 0.490
Ge 0.166 0.344 0.510
Ge 0.166 0.656 0.821
CELL_PARAMETERS angstrom
-4.359 2.517 -5.240
2.311 -6.660 -1.762
-3.664 -0.288 6.268
```

=====

No. 2
# Th4CoGe2

Th4CoGe2 after structural relaxation (PBE, Alexandria via LeMat-Bulk). Values from VASP.

Output
- space-group type = No. 122
- energy of formation from the pure elements (eV/atom) = -0.4907
- crystal system = tetragonal
- total moment (μB per atom) = 0.000
- calculated volume (Å³ per cell) = 360.89

Cell and atoms, written as Quantum ESPRESSO input:
```
&SYSTEM
  ibrav = 0, nat = 14, ntyp = 3
/
ATOMIC_SPECIES
Th 232.04 Th.upf
Co 58.93 Co.upf
Ge 72.64 Ge.upf
ATOMIC_POSITIONS crystal
Th 0.879 0.242 0.228
Th 0.236 0.508 0.137
Th 0.014 0.651 0.772
Th 0.758 0.986 0.636
Th 0.350 0.121 0.364
Th 0.371 0.100 0.863
Th 0.492 0.629 0.728
Th 0.901 0.764 0.272
Co 0.250 0.750 0.500
Co 0.000 0.000 0.000
Ge 0.728 0.375 0.853
Ge 0.522 0.875 0.147
Ge 0.625 0.478 0.353
Ge 0.125 0.272 0.647
CELL_PARAMETERS angstrom
-2.357 3.060 -6.754
-6.557 -1.470 3.921
4.675 4.848 3.898
```

=====

No. 3
# Th2CoGe

Th2CoGe after structural relaxation (PBE, Alexandria via LeMat-Bulk). Values from VASP.

Output
- space-group type = No. 11
- energy of formation from the pure elements (eV/atom) = -0.5252
- crystal system = monoclinic
- total moment (μB per atom) = 0.000
- calculated volume (Å³ per cell) = 185.97

Cell and atoms, written as Quantum ESPRESSO input:
```
&SYSTEM
  ibrav = 0, nat = 8, ntyp = 3
/
ATOMIC_SPECIES
Th 232.04 Th.upf
Co 58.93 Co.upf
Ge 72.64 Ge.upf
ATOMIC_POSITIONS crystal
Th 0.750 0.220 0.452
Th 0.250 0.780 0.548
Th 0.250 0.786 0.100
Th 0.750 0.214 0.900
Co 0.750 0.637 0.288
Co 0.250 0.363 0.712
Ge 0.250 0.346 0.206
Ge 0.750 0.654 0.794
CELL_PARAMETERS angstrom
3.912 0.000 0.000
0.000 6.049 0.016
0.000 -2.998 7.852
```

=====

Question: total moment of number 1 (ThCo4Ge12)?
Answer: 0.000 μB per atom